Compound: AlCr3
Source: Alexandria
Functional: PBE
Structure: relaxed

Cell: 2.926 4.141 8.104 Å, 90.00 90.00 90.00°
Space group Cmmm (No. 65)
Inequivalent atoms, fractional coordinates:
Al1 0.000 0.000 0.000 x2
Cr1 0.000 0.000 0.500 x2
Cr2 0.000 0.500 0.260 x4

* formation energy: 5.5 meV/atom
* calculated density: 6.19 g/cm3



Compound: PIrPtS2
Source: Alexandria
Functional: PBE
Structure: relaxed

Cell: 4.704 4.704 4.427 Å, 90.00 90.00 90.00°
Space group P4/mmm (No. 123)
Inequivalent atoms, fractional coordinates:
P1 0.000 0.000 0.000 x1
Ir1 0.000 0.000 0.500 x1
Pt1 0.500 0.500 0.000 x1
S1 0.000 0.500 0.500 x2

* E above lowest polymorph: 0 meV per atom
* formation energy from raw total energies: 0.97 eV/atom
* calculated density: 8.18 g/cm3



Compound: LiCrCl2
Source: Alexandria
Functional: PBE
Structure: relaxed

Cell: 7.401 7.719 6.570 Å, 90.00 106.05 90.00°
Space group Cm (No. 8)
Inequivalent atoms, fractional coordinates:
Li1 0.000 0.247 0.000 x4
Cr1 0.239 0.500 0.443 x2
Cr2 0.485 0.000 0.447 x2
Cl1 0.312 0.248 0.251 x4
Cl2 0.451 0.500 0.790 x2
Cl3 0.460 0.000 0.800 x2

* E above lowest polymorph: 61 meV per atom
* formation energy from raw total energies: -0.97 eV/atom
* calculated density: 2.39 g/cm3



Compound: AgPt2Au
Source: Alexandria
Functional: PBE
Structure: relaxed

Cell: 2.822 2.822 8.362 Å, 90.00 90.00 90.00°
Space group P4mm (No. 99)
Inequivalent atoms, fractional coordinates:
Ag1 0.000 0.000 0.000 x1
Pt1 0.000 0.000 0.513 x1
Pt2 0.500 0.500 0.749 x1
Au1 0.500 0.500 0.261 x1

* formation energy: 1.1 meV/atom
* E above lowest polymorph: 35 meV per atom
* calculated density: 17.33 g/cm3



Compound: PmHoTlHg
Source: Alexandria
Functional: PBE
Structure: relaxed

Cell: 3.788 3.788 7.642 Å, 90.00 90.00 90.00°
Space group P4mm (No. 99)
Inequivalent atoms, fractional coordinates:
Pm1 0.000 0.000 0.000 x1
Ho1 0.000 0.000 0.481 x1
Tl1 0.500 0.500 0.732 x1
Hg1 0.500 0.500 0.259 x1

* formation energy: -420.9 meV/atom
* E above lowest polymorph: 0 meV per atom
* calculated density: 10.82 g/cm3



Compound: TbNd7Er12
Source: Alexandria
Functional: PBE
Structure: relaxed

Cell: 11.9441 11.9441 16.2216 Å, 90.00 90.00 120.00°
Space group R-3 (No. 148, hexagonal axes)
Inequivalent atoms, fractional coordinates:
Tb1 0.0000 0.0000 0.0000 x3
Nd1 0.0000 0.0000 0.5000 x3
Nd2 0.0548 0.8673 0.7891 x18
Er1 0.0246 0.5763 0.7212 x18
Er2 0.0520 0.4659 0.0831 x18

* formation energy: 230.9 meV/atom
* E above lowest polymorph: 0 meV per atom
* calculated density: 7.89 g/cm3



Compound: PrGaCu2
Source: Alexandria
Functional: PBE
Structure: relaxed

Cell: 8.208 6.552 5.560 Å, 90.00 90.00 90.00°
Space group Pnma (No. 62)
Inequivalent atoms, fractional coordinates:
Pr1 0.056 0.250 0.154 x4
Ga1 0.110 0.750 0.350 x4
Cu1 0.179 0.059 0.614 x8

* formation energy: -314.0 meV/atom
* calculated density: 7.50 g/cm3



Compound: Li2Si2Ir
Source: Alexandria
Functional: PBE
Structure: relaxed

Cell: 5.607 10.763 5.572 Å, 90.00 90.00 90.00°
Space group Ibam (No. 72)
Inequivalent atoms, fractional coordinates:
Li1 0.247 0.184 0.000 x8
Si1 0.180 0.435 0.000 x8
Ir1 0.000 0.000 0.250 x4

* E above lowest polymorph: 104 meV per atom
* formation energy from raw total energies: -0.34 eV/atom
* calculated density: 5.18 g/cm3



Compound: Ti5AlPd6
Source: Alexandria
Functional: PBE
Structure: relaxed

Cell: 4.043 12.207 7.553 Å, 90.00 90.00 90.00°
Space group Cmmm (No. 65)
Inequivalent atoms, fractional coordinates:
Ti1 0.000 0.000 0.000 x2
Ti2 0.000 0.332 0.000 x4
Ti3 0.000 0.332 0.500 x4
Al1 0.000 0.000 0.500 x2
Pd1 0.000 0.166 0.253 x8
Pd2 0.000 0.500 0.261 x4

* formation energy: -575.4 meV/atom
* E above lowest polymorph: 17 meV per atom
* calculated density: 8.06 g/cm3



Compound: AgSIN2
Source: Alexandria
Functional: PBE
Structure: relaxed

Cell: 4.052 4.052 7.755 Å, 90.00 90.00 90.00°
Space group P4/mmm (No. 123)
Inequivalent atoms, fractional coordinates:
Ag1 0.000 0.000 0.000 x1
S1 0.500 0.500 0.500 x1
I1 0.000 0.000 0.500 x1
N1 0.000 0.500 0.000 x2

* E above lowest polymorph: 337 meV per atom
* formation energy from raw total energies: 1.86 eV/atom
* calculated density: 3.85 g/cm3



Compound: Ac2NpSe3O3
Source: Alexandria
Functional: PBE
Structure: relaxed

Cell: 7.8530 7.8530 3.6458 Å, 90.00 90.00 120.00°
Space group P-62m (No. 189)
Inequivalent atoms, fractional coordinates:
Ac1 0.3333 0.6667 0.0000 x2
Np1 0.0000 0.0000 0.5000 x1
Se1 0.0000 0.3973 0.5000 x3
O1 0.0000 0.8157 0.0000 x3

* formation energy from raw total energies: -1.87 eV/atom
* calculated density: 8.32 g/cm3



Compound: InS2Br2
Source: Alexandria
Functional: PBE
Structure: relaxed

Cell: 7.404 12.960 7.727 Å, 90.00 106.39 90.00°
Space group C2/m (No. 12)
Inequivalent atoms, fractional coordinates:
In1 0.000 0.171 0.000 x4
S1 0.058 0.000 0.236 x4
S2 0.244 0.000 0.087 x4
Br1 0.244 0.281 0.234 x8

* formation energy from raw total energies: -0.27 eV/atom
* calculated density: 3.16 g/cm3



Compound: SiNiIr2
Source: Alexandria
Functional: PBE
Structure: relaxed

Cell: 2.803 3.808 5.163 Å, 90.00 102.94 90.00°
Space group P2/m (No. 10)
Inequivalent atoms, fractional coordinates:
Si1 0.000 0.000 0.000 x1
Ni1 0.000 0.000 0.500 x1
Ir1 0.367 0.500 0.241 x2

* formation energy from raw total energies: -0.25 eV/atom
* calculated density: 14.57 g/cm3



Compound: ZnSI2O
Source: Alexandria
Functional: PBE
Structure: relaxed

Cell: 5.734 5.734 3.623 Å, 90.00 90.00 90.00°
Space group P4/mmm (No. 123)
Inequivalent atoms, fractional coordinates:
Zn1 0.000 0.000 0.000 x1
S1 0.500 0.500 0.500 x1
I1 0.000 0.500 0.500 x2
O1 0.500 0.500 0.000 x1

* E above lowest polymorph: 0 meV per atom
* formation energy from raw total energies: 0.24 eV/atom
* calculated density: 5.12 g/cm3



Compound: CaIO4
Source: Alexandria
Functional: PBE
Structure: relaxed

Cell: 7.190 11.516 5.220 Å, 90.00 128.90 90.00°
Space group C2/c (No. 15)
Inequivalent atoms, fractional coordinates:
Ca1 0.000 0.133 0.250 x4
I1 0.000 0.403 0.750 x4
O1 0.151 0.300 0.666 x8
O2 0.247 0.044 0.790 x8

* formation energy from raw total energies: -1.19 eV/atom
* calculated density: 4.56 g/cm3



Compound: Sc2BiPRh
Source: Alexandria
Functional: PBE
Structure: relaxed

Cell: 5.195 5.195 4.332 Å, 90.00 90.00 90.00°
Space group P4/mmm (No. 123)
Inequivalent atoms, fractional coordinates:
Sc1 0.000 0.500 0.000 x2
Bi1 0.000 0.000 0.500 x1
P1 0.500 0.500 0.500 x1
Rh1 0.500 0.500 0.000 x1

* formation energy: -445.4 meV/atom
* calculated density: 6.15 g/cm3



Compound: Li3GeIr2
Source: Alexandria
Functional: PBE
Structure: relaxed

Cell: 5.403 9.537 7.102 Å, 90.00 94.93 90.00°
Space group C2/c (No. 15)
Inequivalent atoms, fractional coordinates:
Li1 0.000 0.138 0.250 x4
Li2 0.146 0.135 0.904 x8
Ge1 0.000 0.438 0.750 x4
Ir1 0.136 0.361 0.456 x8

* formation energy: -282.2 meV/atom
* calculated density: 8.71 g/cm3



Compound: Pm6YCd
Source: Alexandria
Functional: PBE
Structure: relaxed

Cell: 5.009 5.009 10.252 Å, 90.00 90.00 90.00°
Space group P4/mmm (No. 123)
Inequivalent atoms, fractional coordinates:
Pm1 0.000 0.000 0.000 x1
Pm2 0.000 0.000 0.500 x1
Pm3 0.000 0.500 0.244 x4
Y1 0.500 0.500 0.500 x1
Cd1 0.500 0.500 0.000 x1

* formation energy: -39.2 meV/atom
* E above lowest polymorph: 11 meV per atom
* calculated density: 6.92 g/cm3



Compound: MnVB2
Source: Alexandria
Functional: PBE
Structure: relaxed

Cell: 5.169 5.169 5.169 Å, 90.00 90.00 90.00°
Space group Fm-3m (No. 225)
Inequivalent atoms, fractional coordinates:
Mn1 0.000 0.000 0.000 x4
V1 0.000 0.000 0.500 x4
B1 0.250 0.250 0.250 x8

* formation energy: -16.8 meV/atom
* E above lowest polymorph: 608 meV per atom
* calculated density: 6.13 g/cm3



Compound: LiTl2Cd3Bi4
Source: Alexandria
Functional: PBE
Structure: relaxed

Cell: 5.004 5.004 12.637 Å, 90.00 90.00 90.00°
Space group P-4m2 (No. 115)
Inequivalent atoms, fractional coordinates:
Li1 0.000 0.000 0.000 x1
Tl1 0.000 0.500 0.772 x2
Cd1 0.000 0.500 0.355 x2
Cd2 0.500 0.500 0.000 x1
Bi1 0.000 0.000 0.500 x1
Bi2 0.000 0.500 0.130 x2
Bi3 0.500 0.500 0.500 x1

* formation energy: -51.9 meV/atom
* calculated density: 8.34 g/cm3